VASP calculation (PBE-GGA) on Li3PrSc2Se6 after structural relaxation.

Cell lengths 6.928, 6.928, 6.861 Å; angles 99.73, 99.73, 120.04 degrees
Element x y z (fractional)
Li 0.000 0.000 0.000
Li 0.334 0.666 0.000
Li 0.666 0.334 0.000
Pr 0.500 0.500 0.500
Sc 0.167 0.833 0.500
Sc 0.833 0.167 0.500
Se 0.061 0.417 0.253
Se 0.228 0.228 0.750
Se 0.417 0.061 0.253
Se 0.583 0.939 0.747
Se 0.772 0.772 0.250
Se 0.939 0.583 0.747

Output
The value obtained for the size of the total moment is 0.0 μB per formula unit. As for the crystal system: monoclinic. The value obtained for the total energy is -5.274 eV per atom. For the uncorrected formation energy, the calculation gives -19.2 eV/f.u.